# 1
An optimized crystal structure of PrDy6Tm2Sc, computed with GGA-PBE.

Summary:
Formation enthalpy at 0 K, eV/atom: 0.129
DOS at the Fermi energy, states/eV/atom: 1.463
Size of the total moment, μB/f.u.: 0.000
Total energy, eV per cell: -185.508

Unit cell a=9.256 b=14.850 c=9.128 alpha=90.00 beta=94.19 gamma=90.00
Space group C2/c (No. 15)
One atom of each set of equivalent atoms:
Pr  0.000  0.034  0.250 [4 per cell]
Dy  0.056  0.178  0.944 [8 per cell]
Dy  0.094  0.383  0.107 [8 per cell]
Dy  0.230  0.221  0.311 [8 per cell]
Tm  0.241  0.448  0.444 [8 per cell]
Sc  0.000  0.420  0.750 [4 per cell]


# 2
An optimized crystal structure of Tc2HgGeAs, computed with GGA-PBE.

Summary:
Formation enthalpy at 0 K, eV/atom: 1.163
DOS at the Fermi energy, states/eV/atom: 0.895
Size of the total moment, μB/f.u.: 3.052
Total energy, eV per cell: -24.487

Unit cell a=4.672 b=4.672 c=5.103 alpha=90.00 beta=90.00 gamma=90.00
Space group P4/mmm (No. 123)
One atom of each set of equivalent atoms:
Tc  0.000  0.500  0.000 [2 per cell]
Hg  0.000  0.000  0.500 [1 per cell]
Ge  0.500  0.500  0.500 [1 per cell]
As  0.000  0.000  0.000 [1 per cell]


# 3
An optimized crystal structure of ScZnMo, computed with GGA-PBE.

Summary:
Formation enthalpy at 0 K, eV/atom: 0.042
DOS at the Fermi energy, states/eV/atom: 0.767
Size of the total moment, μB/f.u.: 0.000
Total energy, eV per cell: -36.619
E above lowest polymorph, meV per atom: 0

Unit cell a=2.806 b=2.806 c=13.016 alpha=90.00 beta=90.00 gamma=90.00
Space group I4mm (No. 107)
One atom of each set of equivalent atoms:
Sc  0.000  0.000  0.000 [2 per cell]
Zn  0.000  0.000  0.329 [2 per cell]
Mo  0.000  0.000  0.675 [2 per cell]


# 4
An optimized crystal structure of Mn3AgPt, computed with GGA-PBE.

Summary:
Formation enthalpy at 0 K, eV/atom: 0.752
DOS at the Fermi energy, states/eV/atom: 0.585
Size of the total moment, μB/f.u.: 13.361
Total energy, eV per cell: -32.643
E above lowest polymorph, meV per atom: 0

Unit cell a=4.875 b=4.875 c=4.875 alpha=90.00 beta=90.00 gamma=90.00
Space group Pm-3m (No. 221)
One atom of each set of equivalent atoms:
Mn  0.000  0.000  0.500 [3 per cell]
Ag  0.500  0.500  0.500 [1 per cell]
Pt  0.000  0.000  0.000 [1 per cell]


# 5
An optimized crystal structure of P2PtPb, computed with GGA-PBE.

Summary:
Formation enthalpy at 0 K, eV/atom: -0.026
DOS at the Fermi energy, states/eV/atom: 0.305
Size of the total moment, μB/f.u.: 0.000
Total energy, eV per cell: -20.674

Unit cell a=4.434 b=4.136 c=4.883 alpha=90.00 beta=93.44 gamma=90.00
Space group Pm (No. 6)
One atom of each set of equivalent atoms:
P  0.000  0.000  0.000 [1 per cell]
P  0.223  0.500  0.822 [1 per cell]
Pt  0.716  0.500  0.001 [1 per cell]
Pb  0.481  0.000  0.390 [1 per cell]


# 6
An optimized crystal structure of LaEuHoTm, computed with GGA-PBE.

Summary:
Formation enthalpy at 0 K, eV/atom: 0.144
DOS at the Fermi energy, states/eV/atom: 1.551
Size of the total moment, μB/f.u.: 7.808
Total energy, eV per cell: -94.699

Unit cell a=8.211 b=8.211 c=8.211 alpha=90.00 beta=90.00 gamma=90.00
Space group F-43m (No. 216)
One atom of each set of equivalent atoms:
La  0.000  0.000  0.000 [4 per cell]
Eu  0.250  0.250  0.750 [4 per cell]
Ho  0.000  0.000  0.500 [4 per cell]
Tm  0.250  0.250  0.250 [4 per cell]


# 7
An optimized crystal structure of La2TaTi, computed with GGA-PBE.

Summary:
Formation enthalpy at 0 K, eV/atom: 0.554
DOS at the Fermi energy, states/eV/atom: 1.464
Size of the total moment, μB/f.u.: 0.614
Total energy, eV per cell: -109.543
E above lowest polymorph, meV per atom: 0

Unit cell a=7.446 b=7.446 c=7.446 alpha=90.00 beta=90.00 gamma=90.00
Space group Fm-3m (No. 225)
One atom of each set of equivalent atoms:
La  0.250  0.250  0.250 [8 per cell]
Ta  0.000  0.000  0.000 [4 per cell]
Ti  0.000  0.000  0.500 [4 per cell]


# 8
An optimized crystal structure of NbSb2Br, computed with GGA-PBE.

Summary:
DOS at the Fermi energy, states/eV/atom: 0.376
ΔE_f (raw), meV per atom: 452.2
Size of the total moment, μB/f.u.: 0.000
Total energy, eV per cell: -72.715
E above lowest polymorph, meV per atom: 0

Unit cell a=6.625 b=6.625 c=13.627 alpha=90.00 beta=90.00 gamma=90.00
Space group I-42d (No. 122)
One atom of each set of equivalent atoms:
Nb  0.000  0.000  0.000 [4 per cell]
Sb  0.180  0.250  0.125 [8 per cell]
Br  0.000  0.000  0.500 [4 per cell]


# 9
An optimized crystal structure of KOs2Br, computed with GGA-PBE.

Summary:
DOS at the Fermi energy, states/eV/atom: 0.506
ΔE_f (raw), meV per atom: 561.4
Size of the total moment, μB/f.u.: 0.000
Total energy, eV per cell: -22.984
E above lowest polymorph, meV per atom: 116

Unit cell a=3.199 b=3.199 c=8.476 alpha=90.00 beta=90.00 gamma=90.00
Space group P4mm (No. 99)
One atom of each set of equivalent atoms:
K  0.000  0.000  0.000 [1 per cell]
Os  0.000  0.000  0.461 [1 per cell]
Os  0.500  0.500  0.327 [1 per cell]
Br  0.500  0.500  0.734 [1 per cell]


# 10
An optimized crystal structure of ScIr2Se2, computed with GGA-PBE.

Summary:
DOS at the Fermi energy, states/eV/atom: 0.492
ΔE_f (raw), meV per atom: -81.1
Size of the total moment, μB/f.u.: 0.000
Total energy, eV per cell: -62.856
E above lowest polymorph, meV per atom: 0

Unit cell a=7.176 b=7.176 c=3.389 alpha=90.00 beta=90.00 gamma=90.00
Space group P4/mbm (No. 127)
One atom of each set of equivalent atoms:
Sc  0.000  0.000  0.000 [2 per cell]
Ir  0.159  0.341  0.500 [4 per cell]
Se  0.160  0.660  0.000 [4 per cell]


# 11
An optimized crystal structure of Ta2Co2Mo, computed with GGA-PBE.

Summary:
Formation enthalpy at 0 K, eV/atom: 0.084
DOS at the Fermi energy, states/eV/atom: 0.383
Size of the total moment, μB/f.u.: 0.000
Total energy, eV per cell: -96.656
E above lowest polymorph, meV per atom: 135

Unit cell a=7.181 b=7.181 c=2.908 alpha=90.00 beta=90.00 gamma=90.00
Space group P4/mbm (No. 127)
One atom of each set of equivalent atoms:
Ta  0.160  0.340  0.000 [4 per cell]
Co  0.136  0.636  0.500 [4 per cell]
Mo  0.000  0.000  0.000 [2 per cell]


# 12
An optimized crystal structure of Th2TlSi, computed with GGA-PBE.

Summary:
DOS at the Fermi energy, states/eV/atom: 1.086
ΔE_f (raw), meV per atom: -308.2
Size of the total moment, μB/f.u.: 0.000
Total energy, eV per cell: -23.862
E above lowest polymorph, meV per atom: 34

Unit cell a=3.481 b=3.481 c=8.731 alpha=90.00 beta=90.00 gamma=90.00
Space group P4/mmm (No. 123)
One atom of each set of equivalent atoms:
Th  0.000  0.000  0.220 [2 per cell]
Tl  0.500  0.500  0.500 [1 per cell]
Si  0.500  0.500  0.000 [1 per cell]


# 13
An optimized crystal structure of Ac5Mg2Sn5, computed with GGA-PBE.

Summary:
Formation enthalpy at 0 K, eV/atom: -0.589
DOS at the Fermi energy, states/eV/atom: 0.439
Size of the total moment, μB/f.u.: 0.000
Total energy, eV per cell: -101.633
E above lowest polymorph, meV per atom: 0

Unit cell a=17.305 b=4.939 c=12.063 alpha=90.00 beta=129.56 gamma=90.00
Space group C2/m (No. 12)
One atom of each set of equivalent atoms:
Ac  0.000  0.000  0.000 [2 per cell]
Ac  0.098  0.000  0.416 [4 per cell]
Ac  0.192  0.000  0.826 [4 per cell]
Mg  0.145  0.500  0.255 [4 per cell]
Sn  0.000  0.500  0.500 [2 per cell]
Sn  0.066  0.500  0.867 [4 per cell]
Sn  0.243  0.500  0.671 [4 per cell]